Entry 1:
VASP calculation (GGA+U) on a relaxed NaAlV2O6 crystal.

a b c (Å): 9.1769 11.0786 5.9512
angles (deg): 90.00 114.35 90.00
Last column: nearest neighbours and their distance in Å.
Space group C2/c (No. 15)
Inequivalent atoms, fractional coordinates:
Na (0.0000, 0.0942, 0.2500)  6 O 2.41-2.68
Al (0.0000, 0.1843, 0.7500)  4 O 1.76-1.79
V (0.1396, 0.4143, 0.1650)  4 O 1.76-1.91
O (0.0918, 0.2704, 0.0270)  1 V 1.76, 1 Al 1.79
O (0.1151, 0.4511, 0.4611)  2 V 1.88-1.91
O (0.1367, 0.0914, 0.6941)  1 Al 1.76, 1 V 1.87

E_tot in eV/cell: -286.0
Volume in Å³ per cell: 551.23
Spin magnetization in μB/f.u.: 2.00

=====

Entry 2:
VASP calculation (GGA+U) on a relaxed Na4AlV3O8 crystal.

a b c (Å): 6.0750 6.0750 16.1643
angles (deg): 90.00 90.00 120.00
Last column: nearest neighbours and their distance in Å.
Space group R-3m (No. 166, hexagonal axes)
Inequivalent atoms, fractional coordinates:
Na (0.0000, 0.0000, 0.0000)  6 O 2.46
Na (0.0000, 0.5000, 0.0000)  6 O 2.37-2.39
Al (0.0000, 0.0000, 0.5000)  6 O 1.98
V (0.0000, 0.5000, 0.5000)  6 O 2.06-2.08
O (0.0000, 0.0000, 0.2330)  3 V 2.06
O (0.0154, 0.5077, 0.2319)  1 Al 1.98, 2 V 2.08

E_tot in eV/cell: -313.7
Volume in Å³ per cell: 516.70
D(E_F) in states/eV per atom: 0.000
Spin magnetization in μB/f.u.: 6.00

=====

Entry 3:
VASP calculation (GGA+U) on a relaxed NaAlVO4 crystal.

a b c (Å): 5.2541 5.4171 6.8640
angles (deg): 90.00 111.00 90.00
Last column: nearest neighbours and their distance in Å.
Space group P2_1/m (No. 11)
Inequivalent atoms, fractional coordinates:
Na (0.0546, 0.2500, 0.1390)  2 O 2.27-2.28
Al (0.4252, 0.2500, 0.6680)  4 O 1.76-1.81
V (0.1564, 0.7500, 0.4703)  6 O 1.91-2.09
O (0.1777, 0.0178, 0.6678)  1 Al 1.81, 1 V 1.96
O (0.2184, 0.7500, 0.2033)  1 Al 1.76
O (0.4553, 0.2500, 0.4181)  1 Al 1.78, 1 V 1.91

E_tot in eV/cell: -94.9
Volume in Å³ per cell: 182.39
D(E_F) in states/eV per atom: 0.000
Spin magnetization in μB/f.u.: 1.00

=====

Entry 4:
VASP calculation (GGA+U) on a relaxed NaAl2VO6 crystal.

a b c (Å): 8.8790 10.9530 5.8739
angles (deg): 90.00 114.27 90.00
Last column: nearest neighbours and their distance in Å.
Space group C2/c (No. 15)
Inequivalent atoms, fractional coordinates:
Na (0.0000, 0.1037, 0.2500)  6 O 2.45-2.58
Al (0.1264, 0.4272, 0.1638)  5 O 1.79-1.99
V (0.0000, 0.1901, 0.7500)  4 O 1.74-1.75
O (0.0904, 0.2724, 0.0259)  1 V 1.74, 1 Al 1.85
O (0.1170, 0.4486, 0.4608)  3 Al 1.79-1.99
O (0.1411, 0.0919, 0.7067)  1 V 1.75, 1 Al 1.90

E_tot in eV/cell: -282.0
Volume in Å³ per cell: 520.76
D(E_F) in states/eV per atom: 0.000
Spin magnetization in μB/f.u.: 0.00

=====

Entry 5:
VASP calculation (GGA+U) on a relaxed Na2AlV2O6 crystal.

a b c (Å): 5.1263 8.5040 5.7509
angles (deg): 90.00 104.77 90.00
Last column: nearest neighbours and their distance in Å.
Space group C2/m (No. 12)
Inequivalent atoms, fractional coordinates:
Na (0.0000, 0.1749, 0.0000)  6 O 2.35-2.44
Al (0.0000, 0.0000, 0.5000)  6 O 1.92-1.94
V (0.0000, 0.3542, 0.5000)  6 O 1.97-2.11
O (0.2234, 0.1629, 0.6808)  1 Al 1.92, 2 V 1.97-2.11
O (0.2454, 0.0000, 0.2920)  1 Al 1.94, 2 V 1.97

E_tot in eV/cell: -147.6
Volume in Å³ per cell: 242.42
Spin magnetization in μB/f.u.: 0.96

=====

Entry 6:
VASP calculation (GGA+U) on a relaxed Na2AlWO6 crystal.

a b c (Å): 7.6620 7.6620 7.6620
angles (deg): 90.00 90.00 90.00
Last column: nearest neighbours and their distance in Å.
Space group Fm-3m (No. 225)
Inequivalent atoms, fractional coordinates:
Na (0.2500, 0.2500, 0.2500)  12 O 2.71
Al (0.0000, 0.0000, 0.0000)  6 O 1.89
W (0.0000, 0.0000, 0.5000)  6 O 1.94
O (0.0000, 0.0000, 0.2472)  1 Al 1.89, 1 W 1.94

E_tot in eV/cell: -257.0
Volume in Å³ per cell: 449.81
D(E_F) in states/eV per atom: 0.511
Spin magnetization in μB/f.u.: 0.47

=====

Entry 7:
VASP calculation (GGA+U) on a relaxed NaAl2WO6 crystal.

a b c (Å): 9.5840 9.6136 5.2424
angles (deg): 90.00 98.88 90.00
Last column: nearest neighbours and their distance in Å.
Space group C2/c (No. 15)
Inequivalent atoms, fractional coordinates:
Na (0.0000, 0.0825, 0.2500)  6 O 2.32-2.42
Al (0.1904, 0.4133, 0.3073)  4 O 1.76-1.82
W (0.0000, 0.2711, 0.7500)  4 O 1.90-2.00
O (0.1008, 0.2898, 0.0909)  1 Al 1.77, 1 W 1.90
O (0.1272, 0.1200, 0.6573)  1 Al 1.76
O (0.1439, 0.4272, 0.6282)  2 Al 1.81-1.82

E_tot in eV/cell: -282.3
Volume in Å³ per cell: 477.22
D(E_F) in states/eV per atom: 0.000
Spin magnetization in μB/f.u.: 1.00